Material: Sc2Ag2Hg
Method: DFT, PBE-GGA
State: relaxed

Results
Crystal system   monoclinic
SG   C2/c, No. 15
Raw total energy   -3.96 eV per atom
Energy of formation from the pure elements   -0.226 eV/atom
Energy relative to the lowest polymorph listed for this composition   0.015 eV per atom

The structure in POSCAR format:
```
Sc2Ag2Hg
1.0
-2.1463 1.5805 4.3649
4.7748 2.0081 4.6171
6.1685 8.1904 3.0639
Sc Ag Hg
4 4 2
Cartesian
8.7901 10.3172 8.8362
2.7889 5.6079 6.0727
0.0069 1.4618 3.2097
6.0081 6.1711 5.9732
7.8598 7.7760 7.7855
5.8762 9.4945 9.1841
0.9372 4.0030 4.2604
2.9208 2.2845 2.8617
4.8690 3.7409 4.7459
3.9280 8.0381 7.3000
```